(1)
Entry from Alexandria: a relaxed AcErNi3 crystal (GGA-PBE).

CIF file:
```
data_AcErNi3
_chemical_formula_sum 'Ac4 Er4 Ni12'
_space_group_name_H-M_alt 'C m c m'
_space_group_IT_number 63
_space_group_name_Hall '-C 2c 2'
_cell_length_a 4.0721
_cell_length_b 24.4046
_cell_length_c 4.0716
_cell_angle_alpha 90.00
_cell_angle_beta 90.00
_cell_angle_gamma 90.00
loop_
_atom_site_label
_atom_site_type_symbol
_atom_site_fract_x
_atom_site_fract_y
_atom_site_fract_z
Ac1 Ac 0.0000 0.0744 0.2500
Er1 Er 0.0000 0.2068 0.7500
Ni1 Ni 0.0000 0.3197 0.7500
Ni2 Ni 0.0000 0.3727 0.2500
Ni3 Ni 0.0000 0.4729 0.2500
```

## Properties
ρ ... 9.36 g cm⁻³
Magnetic moment ... 0.00 μB/cell
ΔE_f ... -0.3501 eV per atom

***

(2)
Entry from Alexandria: a relaxed Ce2PrHo3As6 crystal (GGA-PBE).

CIF file:
```
data_Ce2PrHo3As6
_chemical_formula_sum 'Ce4 Pr2 Ho6 As12'
_space_group_name_H-M_alt 'C 1 2/m 1'
_space_group_IT_number 12
_space_group_name_Hall '-C 2y'
_cell_length_a 18.1694
_cell_length_b 4.1784
_cell_length_c 8.3452
_cell_angle_alpha 90.00
_cell_angle_beta 103.09
_cell_angle_gamma 90.00
loop_
_atom_site_label
_atom_site_type_symbol
_atom_site_fract_x
_atom_site_fract_y
_atom_site_fract_z
Ce1 Ce 0.1666 0.0000 0.3328
Pr1 Pr 0.0000 0.5000 0.0000
Ho1 Ho 0.0000 0.5000 0.5000
Ho2 Ho 0.1658 0.0000 0.8336
As1 As 0.0006 0.0000 0.7413
As2 As 0.1655 0.5000 0.5864
As3 As 0.1699 0.5000 0.0817
```

## Properties
ρ ... 7.35 g cm⁻³
Magnetic moment ... 2.56 μB/cell
ΔE_f ... -1.4878 eV per atom

***

(3)
Entry from Alexandria: a relaxed Rb2CrPtBr crystal (GGA-PBE).

CIF file:
```
data_Rb2CrPtBr
_chemical_formula_sum 'Rb2 Cr1 Pt1 Br1'
_space_group_name_H-M_alt 'P 4/m m m'
_space_group_IT_number 123
_space_group_name_Hall '-P 4 2'
_cell_length_a 6.6101
_cell_length_b 6.6101
_cell_length_c 4.8608
_cell_angle_alpha 90.00
_cell_angle_beta 90.00
_cell_angle_gamma 90.00
loop_
_atom_site_label
_atom_site_type_symbol
_atom_site_fract_x
_atom_site_fract_y
_atom_site_fract_z
Rb1 Rb 0.0000 0.5000 0.0000
Cr1 Cr 0.0000 0.0000 0.0000
Pt1 Pt 0.5000 0.5000 0.5000
Br1 Br 0.0000 0.0000 0.5000
```

## Properties
Raw formation energy ... 478 meV/atom
ρ ... 3.89 g cm⁻³
Magnetic moment ... 5.45 μB/cell

***

(4)
Entry from Alexandria: a relaxed AlAuS2 crystal (GGA-PBE).

CIF file:
```
data_AlAuS2
_chemical_formula_sum 'Al4 Au4 S8'
_space_group_name_H-M_alt 'C m c m'
_space_group_IT_number 63
_space_group_name_Hall '-C 2c 2'
_cell_length_a 3.4248
_cell_length_b 23.0923
_cell_length_c 3.7696
_cell_angle_alpha 90.00
_cell_angle_beta 90.00
_cell_angle_gamma 90.00
loop_
_atom_site_label
_atom_site_type_symbol
_atom_site_fract_x
_atom_site_fract_y
_atom_site_fract_z
Al1 Al 0.0000 0.1843 0.2500
Au1 Au 0.0000 0.4590 0.2500
S1 S 0.0000 0.2894 0.2500
S2 S 0.0000 0.3922 0.7500
```

## Properties
Raw formation energy ... -363 meV/atom
ρ ... 6.42 g cm⁻³
Magnetic moment ... 0.00 μB/cell

***

(5)
Entry from Alexandria: a relaxed Co2RhBr crystal (GGA-PBE).

CIF file:
```
data_Co2RhBr
_chemical_formula_sum 'Co8 Rh4 Br4'
_space_group_name_H-M_alt 'I -4 2 d'
_space_group_IT_number 122
_space_group_name_Hall 'I -4 2bw'
_cell_length_a 5.8496
_cell_length_b 5.8496
_cell_length_c 9.3637
_cell_angle_alpha 90.00
_cell_angle_beta 90.00
_cell_angle_gamma 90.00
loop_
_atom_site_label
_atom_site_type_symbol
_atom_site_fract_x
_atom_site_fract_y
_atom_site_fract_z
Co1 Co 0.2414 0.2500 0.1250
Rh1 Rh 0.0000 0.0000 0.0000
Br1 Br 0.0000 0.0000 0.5000
```

## Properties
Raw formation energy ... 855 meV/atom
Energy relative to the lowest polymorph listed for this composition ... 429.8 meV per atom
ρ ... 6.23 g cm⁻³
Magnetic moment ... 19.45 μB/cell

***

(6)
Entry from Alexandria: a relaxed NaPaHgBi crystal (GGA-PBE).

CIF file:
```
data_NaPaHgBi
_chemical_formula_sum 'Na4 Pa4 Hg4 Bi4'
_space_group_name_H-M_alt 'F -4 3 m'
_space_group_IT_number 216
_space_group_name_Hall 'F -4 2 3'
_cell_length_a 7.5673
_cell_length_b 7.5673
_cell_length_c 7.5673
_cell_angle_alpha 90.00
_cell_angle_beta 90.00
_cell_angle_gamma 90.00
loop_
_atom_site_label
_atom_site_type_symbol
_atom_site_fract_x
_atom_site_fract_y
_atom_site_fract_z
Na1 Na 0.0000 0.0000 0.0000
Pa1 Pa 0.0000 0.0000 0.5000
Hg1 Hg 0.2500 0.2500 0.7500
Bi1 Bi 0.2500 0.2500 0.2500
```

## Properties
ρ ... 10.17 g cm⁻³
Magnetic moment ... 6.32 μB/cell
ΔE_f ... 0.0089 eV per atom